Material: AcGa6S8
Method: DFT, PBE
State: relaxed

abc: 6.9309 6.9309 6.9309
angles: 93.55 93.55 93.55
Closest atoms and distances in Å follow each position.
Element x y z (fractional)
Ac: 0.0000 0.0000 0.0000  8 S 3.09-3.15
Ga: 0.2632 0.6195 0.3250  3 S 2.34-2.40
Ga: 0.3250 0.2632 0.6195  3 S 2.34-2.40
Ga: 0.3805 0.6750 0.7368  3 S 2.34-2.40
Ga: 0.6195 0.3250 0.2632  3 S 2.34-2.40
Ga: 0.6750 0.7368 0.3805  3 S 2.34-2.40
Ga: 0.7368 0.3805 0.6750  3 S 2.34-2.40
S: 0.0689 0.3830 0.7850  2 Ga 2.34-2.38
S: 0.2150 0.9311 0.6170  2 Ga 2.34-2.38
S: 0.2749 0.2749 0.2749  3 Ga 2.40
S: 0.3830 0.7850 0.0689  2 Ga 2.34-2.38
S: 0.6170 0.2150 0.9311  2 Ga 2.34-2.38
S: 0.7251 0.7251 0.7251  3 Ga 2.40
S: 0.7850 0.0689 0.3830  2 Ga 2.34-2.38
S: 0.9311 0.6170 0.2150  2 Ga 2.34-2.38

Computed properties:
uncorrected formation energy	-9.01	eV/f.u.
energy	-4.29	eV/atom